Record 1
# La3Y3Ho8

An optimized crystal structure of La3Y3Ho8 (PBE, Alexandria).

Cell lengths 5.6889, 10.8490, 15.1503 Å; angles 90.00, 90.00, 90.00 degrees
Last column: nearest neighbours and their distance in Å.
Space group Immm (No. 71)
Asymmetric unit:
La  0.0000  0.0000  0.0000 (multiplicity 2)  4 Y 3.59, 4 La 4.01, 4 Ho 4.02
La  0.0000  0.5000  0.3134 (multiplicity 4)  2 Y 3.58, 8 Ho 3.63-3.70
Y  0.0000  0.0000  0.5000 (multiplicity 2)  2 Y 3.24
Y  0.0000  0.2983  0.5000 (multiplicity 4)  1 Y 3.24, 4 Ho 3.57, 4 La 3.58-3.59
Ho  0.0000  0.1617  0.2802 (multiplicity 8)  6 Ho 3.34-3.55, 3 La 3.63-3.70, 1 Y 3.64
Ho  0.0000  0.3417  0.1017 (multiplicity 8)  5 Ho 3.08-3.43

## Properties
formation energy from the elements	106	meV per atom
calculated total energy	-69.31	eV per formula unit

***

Record 2
# LaY3Ho4

An optimized crystal structure of LaY3Ho4 (PBE, Alexandria).

Cell lengths 11.3506, 7.3088, 6.2952 Å; angles 90.00, 90.00, 90.00 degrees
Last column: nearest neighbours and their distance in Å.
Space group Pmn2_1 (No. 31)
Asymmetric unit:
La  0.0000  0.1278  0.0000 (multiplicity 2)  6 Ho 3.54-3.69, 6 Y 3.55-3.69
Y  0.0000  0.8709  0.5040 (multiplicity 2)  6 Ho 3.50-3.72, 4 Y 3.55, 2 La 3.64-3.69
Y  0.2490  0.1278  0.3401 (multiplicity 4)  6 Ho 3.53-3.69, 2 La 3.55, 4 Y 3.55-3.66
Ho  0.0000  0.3793  0.5079 (multiplicity 2)  6 Ho 3.49-3.62, 4 Y 3.53-3.72, 2 La 3.60-3.69
Ho  0.0000  0.6223  0.0070 (multiplicity 2)  6 Ho 3.50-3.62, 4 Y 3.54-3.65, 2 La 3.61-3.69
Ho  0.2476  0.6225  0.3394 (multiplicity 4)  6 Ho 3.49-3.62, 5 Y 3.50-3.69, 1 La 3.54

## Properties
formation energy from the elements	13	meV per atom
calculated total energy	-42.53	eV per formula unit
energy above the most stable polymorph in this dataset	0.0	meV per atom

***

Record 3
# LaY5Ho4

An optimized crystal structure of LaY5Ho4 (PBE, Alexandria).

Cell lengths 10.2456, 10.2456, 6.3223 Å; angles 90.00, 90.00, 90.00 degrees
Last column: nearest neighbours and their distance in Å.
Space group I4 (No. 79)
Asymmetric unit:
La  0.0000  0.0000  0.0000 (multiplicity 2)  1 Y 2.87
Y  0.0000  0.0000  0.4547 (multiplicity 2)  1 La 2.87
Y  0.1459  0.7644  0.7254 (multiplicity 8)  4 Ho 3.23-3.55, 1 Y 3.32, 1 La 3.33
Ho  0.0520  0.6474  0.2311 (multiplicity 8)  1 Ho 3.20, 4 Y 3.23-3.55

## Properties
formation energy from the elements	306	meV per atom
calculated total energy	-52.50	eV per formula unit

***

Record 4
# La4Y11Ho9

An optimized crystal structure of La4Y11Ho9 (PBE, Alexandria).

Cell lengths 16.4446, 26.4715, 3.6307 Å; angles 90.00, 90.00, 90.00 degrees
Last column: nearest neighbours and their distance in Å.
Space group Cmmm (No. 65)
Asymmetric unit:
La  0.1692  0.0870  0.0000 (multiplicity 8)  6 Y 3.48-3.68, 3 Ho 3.61-3.67, 2 La 3.63
Y  0.0000  0.1256  0.5000 (multiplicity 4)  4 La 3.48, 6 Ho 3.54-3.79, 2 Y 3.63
Y  0.0000  0.3130  0.5000 (multiplicity 4)  8 Ho 3.53-3.54, 4 Y 3.60-3.63
Y  0.0000  0.5000  0.5000 (multiplicity 2)  4 Y 3.44-3.63, 8 Ho 3.55
Y  0.2091  0.5000  0.5000 (multiplicity 4)  3 Y 3.44-3.63, 4 Ho 3.50, 4 La 3.55
Y  0.2187  0.3139  0.5000 (multiplicity 8)  6 Ho 3.52-3.60, 4 Y 3.54-3.63, 2 La 3.68
Ho  0.0000  0.0000  0.0000 (multiplicity 2)  4 La 3.61, 2 Ho 3.63, 4 Y 3.79
Ho  0.1063  0.2198  0.0000 (multiplicity 8)  3 Ho 3.50-3.63, 8 Y 3.52-3.60, 1 La 3.66
Ho  0.1081  0.4062  0.0000 (multiplicity 8)  8 Y 3.50-3.55, 3 Ho 3.56-3.63, 1 La 3.67

## Properties
formation energy from the elements	51	meV per atom
calculated total energy	-130.80	eV per formula unit

***

Record 5
# LaY5Ho6

An optimized crystal structure of LaY5Ho6 (PBE, Alexandria).

Cell lengths 6.1717, 10.6836, 11.8217 Å; angles 90.00, 99.99, 90.00 degrees
Last column: nearest neighbours and their distance in Å.
Space group C2/m (No. 12)
Asymmetric unit:
La  0.0000  0.0000  0.0000 (multiplicity 2)  6 Y 3.56, 6 Ho 3.59
Y  0.0000  0.1671  0.5000 (multiplicity 4)  6 Ho 3.54-3.55, 6 Y 3.56-3.57
Y  0.0000  0.3334  0.0000 (multiplicity 4)  3 Y 3.56, 3 La 3.56, 6 Ho 3.58
Y  0.0000  0.5000  0.5000 (multiplicity 2)  6 Ho 3.54-3.55, 6 Y 3.56-3.57
Ho  0.2493  0.3330  0.7478 (multiplicity 8)  5 Y 3.54-3.58, 6 Ho 3.56-3.57, 1 La 3.59
Ho  0.2503  0.0000  0.7478 (multiplicity 4)  5 Y 3.54-3.58, 6 Ho 3.56-3.57, 1 La 3.59

## Properties
formation energy from the elements	25	meV per atom
calculated total energy	-64.41	eV per formula unit

***

Record 6
# La2Y15Ho2

An optimized crystal structure of La2Y15Ho2 (PBE, Alexandria).

Cell lengths 11.4102, 11.4102, 17.5937 Å; angles 90.00, 90.00, 120.00 degrees
Last column: nearest neighbours and their distance in Å.
Space group R-3m (No. 166, hexagonal axes)
Asymmetric unit:
La  0.0000  0.0000  0.1714 (multiplicity 6)  15 Y 4.03-4.36, 1 Ho 4.08
Y  0.0000  0.2969  0.5000 (multiplicity 18)  6 Y 3.38-3.41
Y  0.0000  0.5000  0.0000 (multiplicity 9)  8 Y 3.37-3.41, 2 Ho 3.52
Y  0.0092  0.5046  0.6399 (multiplicity 18)  6 Y 3.34-3.38
Ho  0.0000  0.0000  0.4035 (multiplicity 6)  1 Ho 3.40, 12 Y 3.52-3.79

## Properties
formation energy from the elements	277	meV per atom
calculated total energy	-110.70	eV per formula unit

***

Record 7
# LaY3Ho7

An optimized crystal structure of LaY3Ho7 (PBE, Alexandria).

Cell lengths 6.9773, 5.5613, 9.8793 Å; angles 90.00, 109.63, 90.00 degrees
Last column: nearest neighbours and their distance in Å.
Space group P2/m (No. 10)
Asymmetric unit:
La  0.0000  0.0000  0.0000 (multiplicity 1)  2 Y 3.49, 10 Ho 3.57-3.80
Y  0.2763  0.5000  0.4966 (multiplicity 2)  1 Y 3.10, 4 Ho 3.32-3.39
Y  0.5000  0.0000  0.0000 (multiplicity 1)  2 La 3.49, 10 Ho 3.49-3.83
Ho  0.0000  0.0000  0.5000 (multiplicity 1)  4 Y 3.39, 2 Ho 3.80
Ho  0.1463  0.5000  0.7909 (multiplicity 2)  3 Ho 3.28-3.57, 2 Y 3.32-3.34
Ho  0.3272  0.5000  0.1436 (multiplicity 2)  5 Ho 3.28-3.57, 3 Y 3.51-3.62, 2 La 3.57
Ho  0.4243  0.0000  0.3321 (multiplicity 2)  3 Ho 3.13-3.29, 1 Y 3.49

## Properties
formation energy from the elements	153	meV per atom
calculated total energy	-54.68	eV per formula unit
energy above the most stable polymorph in this dataset	0.0	meV per atom

***

Record 8
# La4Y3Ho2

An optimized crystal structure of La4Y3Ho2 (PBE, Alexandria).

Cell lengths 13.0647, 3.6825, 14.6190 Å; angles 90.00, 116.10, 90.00 degrees
Last column: nearest neighbours and their distance in Å.
Space group C2/m (No. 12)
Asymmetric unit:
La  0.2204  0.0000  0.1067 (multiplicity 4)  5 Y 3.51-3.69, 2 Ho 3.57, 2 La 3.68
La  0.2236  0.5000  0.3722 (multiplicity 4)  3 Y 3.65-3.74, 3 Ho 3.68, 4 La 3.68-3.94
Y  0.0000  0.5000  0.5000 (multiplicity 2)  4 Ho 3.38, 2 Y 3.68, 4 La 3.74
Y  0.0052  0.5000  0.8873 (multiplicity 4)  3 Y 3.36-3.68, 2 Ho 3.43, 6 La 3.51-3.69
Ho  0.0465  0.0000  0.7087 (multiplicity 4)  4 Y 3.38-3.43, 5 La 3.57-3.68, 2 Ho 3.68

## Properties
formation energy from the elements	87	meV per atom
calculated total energy	-47.47	eV per formula unit
energy above the most stable polymorph in this dataset	56.5	meV per atom

***

Record 9
# La5Y4Ho4

An optimized crystal structure of La5Y4Ho4 (PBE, Alexandria).

Cell lengths 13.0887, 13.0887, 5.1246 Å; angles 90.00, 90.00, 90.00 degrees
Last column: nearest neighbours and their distance in Å.
Space group I4/m (No. 87)
Asymmetric unit:
La  0.0000  0.0000  0.0000 (multiplicity 2)  8 La 3.64, 4 Ho 3.68
La  0.0398  0.8070  0.5000 (multiplicity 8)  5 Ho 3.56-3.66, 3 Y 3.63, 4 La 3.64-3.65
Y  0.0762  0.6139  0.0000 (multiplicity 8)  5 Y 3.59-3.61, 4 Ho 3.61-3.66, 3 La 3.63
Ho  0.1554  0.2340  0.0000 (multiplicity 8)  6 La 3.56-3.68, 2 Ho 3.59, 4 Y 3.61-3.66

## Properties
formation energy from the elements	31	meV per atom
calculated total energy	-68.41	eV per formula unit

***

Record 10
# La3Y7Ho2

An optimized crystal structure of La3Y7Ho2 (PBE, Alexandria).

Cell lengths 3.6755, 41.0531, 5.6631 Å; angles 90.00, 90.00, 90.00 degrees
Last column: nearest neighbours and their distance in Å.
Space group Cmmm (No. 65)
Asymmetric unit:
La  0.0000  0.0000  0.0000 (multiplicity 2)  8 Y 3.35-3.38, 2 La 3.68
La  0.0000  0.3294  0.5000 (multiplicity 4)  4 Ho 3.65, 2 La 3.68, 6 Y 3.85-3.96
Y  0.0000  0.0851  0.5000 (multiplicity 4)  6 Y 3.45-3.68, 2 Ho 3.54
Y  0.0000  0.2155  0.0000 (multiplicity 4)  1 Ho 3.22, 2 Y 3.38
Y  0.0000  0.4319  0.0000 (multiplicity 4)  2 La 3.35, 2 Ho 3.37, 6 Y 3.45-3.68
Y  0.0000  0.5000  0.5000 (multiplicity 2)  4 La 3.38, 2 Y 3.68
Ho  0.0000  0.1370  0.0000 (multiplicity 4)  5 Y 3.22-3.54

## Properties
formation energy from the elements	229	meV per atom
calculated total energy	-66.44	eV per formula unit

***

Record 11
# La3Y5Ho2

An optimized crystal structure of La3Y5Ho2 (PBE, Alexandria).

Cell lengths 10.8239, 16.5252, 9.3215 Å; angles 90.00, 125.39, 90.00 degrees
Last column: nearest neighbours and their distance in Å.
Space group C2/c (No. 15)
Asymmetric unit:
La  0.0000  0.2323  0.2500 (multiplicity 4)  4 Ho 3.32-3.64, 3 Y 3.42-3.70, 2 La 3.53
La  0.1445  0.1267  0.0473 (multiplicity 8)  1 Ho 3.12, 4 Y 3.34-3.50
Y  0.0000  0.0255  0.2500 (multiplicity 4)  5 La 3.38-3.50, 2 Ho 3.47, 2 Y 3.57
Y  0.0000  0.2752  0.7500 (multiplicity 4)  1 Y 3.23, 4 La 3.34-3.55, 2 Ho 3.62
Y  0.0000  0.4707  0.7500 (multiplicity 4)  3 Y 3.23-3.59, 4 Ho 3.30-3.48, 2 La 3.54
Y  0.2390  0.3858  0.2307 (multiplicity 8)  2 Ho 3.42-3.56, 3 La 3.48-3.70, 3 Y 3.57-3.81
Ho  0.1488  0.3818  0.5420 (multiplicity 8)  2 La 3.12-3.32, 4 Y 3.30-3.48

## Properties
formation energy from the elements	184	meV per atom
calculated total energy	-54.42	eV per formula unit

***

Record 12
# La2YHo

An optimized crystal structure of La2YHo (PBE, Alexandria).

Cell lengths 7.4153, 9.9523, 3.7213 Å; angles 90.00, 90.00, 90.00 degrees
Last column: nearest neighbours and their distance in Å.
Space group Cmmm (No. 65)
Asymmetric unit:
La  0.2500  0.2500  0.0000 (multiplicity 4)  4 Y 3.62, 4 Ho 3.62, 4 La 3.71-3.72
Y  0.0000  0.0000  0.5000 (multiplicity 2)  8 La 3.62, 2 Ho 3.71, 2 Y 3.72
Ho  0.0000  0.5000  0.5000 (multiplicity 2)  8 La 3.62, 2 Y 3.71, 2 Ho 3.72

## Properties
formation energy from the elements	25	meV per atom
calculated total energy	-20.80	eV per formula unit
energy above the most stable polymorph in this dataset	14.9	meV per atom